Here is a geometry-optimized ZrNbBiO6 structure from the Alexandria database. Energies are from PBE.

abc: 5.4753 5.4753 9.8959
angles: 90.00 90.00 120.00
Space group P-31c (No. 163)
One atom of each set of equivalent atoms:
Zr1 0.3333 0.6667 0.2500
Nb1 0.3333 0.6667 0.7500
Bi1 0.0000 0.0000 0.0000
O1 0.0133 0.3676 0.6386

Calculated values
crystal system: trigonal
E_form (uncorrected): -2.43 eV/atom
raw total energy: -8.24 eV per atom
DOS at the Fermi energy: 0.00 states/eV/cell
volume: 14.27 A^3/atom
spin magnetization: 0.00 μB/atom

---

Here is a geometry-optimized As2PPt structure from the Alexandria database. Energies are from PBE.

abc: 5.5615 7.1289 3.4333
angles: 90.00 90.00 90.00
Space group Cmmm (No. 65)
One atom of each set of equivalent atoms:
As1 0.2500 0.2500 0.0000
P1 0.0000 0.0000 0.5000
Pt1 0.0000 0.5000 0.5000

Calculated values
crystal system: orthorhombic
raw total energy: -4.87 eV per atom
DOS at the Fermi energy: 3.07 states/eV/cell
volume: 17.02 A^3/atom
spin magnetization: 0.00 μB/atom
ΔE_f: 0.321 eV per atom

---

Here is a geometry-optimized Ca2Cu3Sn4Au structure from the Alexandria database. Energies are from PBE.

abc: 4.5727 4.5727 10.7982
angles: 90.00 90.00 90.00
Space group P-4m2 (No. 115)
One atom of each set of equivalent atoms:
Ca1 0.0000 0.5000 0.2400
Cu1 0.0000 0.0000 0.0000
Cu2 0.0000 0.5000 0.6289
Sn1 0.0000 0.0000 0.5000
Sn2 0.0000 0.5000 0.8637
Sn3 0.5000 0.5000 0.5000
Au1 0.5000 0.5000 0.0000

Calculated values
crystal system: tetragonal
raw total energy: -3.89 eV per atom
DOS at the Fermi energy: 4.44 states/eV/cell
volume: 22.58 A^3/atom
spin magnetization: 0.00 μB/atom
ΔE_f: -0.329 eV per atom

---

Here is a geometry-optimized Pm3Ho8Er structure from the Alexandria database. Energies are from PBE.

abc: 10.8747 11.3073 6.2848
angles: 90.00 90.00 90.00
Space group Imm2 (No. 44)
One atom of each set of equivalent atoms:
Pm1 0.0000 0.0000 0.0000
Pm2 0.0000 0.2509 0.6652
Ho1 0.1664 0.5000 0.4981
Ho2 0.1672 0.2515 0.1668
Ho3 0.1685 0.0000 0.4973
Er1 0.0000 0.5000 0.0003

Calculated values
crystal system: orthorhombic
raw total energy: -4.61 eV per atom
DOS at the Fermi energy: 44.12 states/eV/cell
volume: 32.20 A^3/atom
spin magnetization: 0.00 μB/atom
ΔE_f: 0.015 eV per atom